Record 1
# GGA-PBE DyPaTcRh, optimized geometry
# Energy of formation, kJ/mol of formula units: -162
data_DyPaTcRh
_space_group_name_H-M_alt 'F -4 3 m'
_space_group_IT_number 216
_space_group_name_Hall 'F -4 2 3'
_cell_length_a 6.8734
_cell_length_b 6.8734
_cell_length_c 6.8734
_cell_angle_alpha 90.00
_cell_angle_beta 90.00
_cell_angle_gamma 90.00
loop_
_atom_site_label
_atom_site_type_symbol
_atom_site_fract_x
_atom_site_fract_y
_atom_site_fract_z
Dy1 Dy 0.0000 0.0000 0.0000
Pa1 Pa 0.0000 0.0000 0.5000
Tc1 Tc 0.2500 0.2500 0.2500
Rh1 Rh 0.2500 0.2500 0.7500

Record 2
# GGA-PBE DyThPa2Rh4, optimized geometry
# Energy of formation, kJ/mol of formula units: -588
data_DyThPa2Rh4
_space_group_name_H-M_alt 'F m m 2'
_space_group_IT_number 42
_space_group_name_Hall 'F 2 -2'
_cell_length_a 7.6253
_cell_length_b 11.1331
_cell_length_c 8.4287
_cell_angle_alpha 90.00
_cell_angle_beta 90.00
_cell_angle_gamma 90.00
loop_
_atom_site_label
_atom_site_type_symbol
_atom_site_fract_x
_atom_site_fract_y
_atom_site_fract_z
Dy1 Dy 0.0000 0.0000 0.0000
Th1 Th 0.0000 0.0000 0.4278
Pa1 Pa 0.2500 0.2500 0.1700
Rh1 Rh 0.0000 0.2418 0.9140
Rh2 Rh 0.2006 0.0000 0.7101

Record 3
# GGA-PBE DyTmPa2Rh4, optimized geometry
# Energy of formation, kJ/mol of formula units: -567
data_DyTmPa2Rh4
_space_group_name_H-M_alt 'F m m 2'
_space_group_IT_number 42
_space_group_name_Hall 'F 2 -2'
_cell_length_a 7.6457
_cell_length_b 10.8515
_cell_length_c 8.2916
_cell_angle_alpha 90.00
_cell_angle_beta 90.00
_cell_angle_gamma 90.00
loop_
_atom_site_label
_atom_site_type_symbol
_atom_site_fract_x
_atom_site_fract_y
_atom_site_fract_z
Dy1 Dy 0.0000 0.0000 0.0000
Tm1 Tm 0.0000 0.0000 0.4153
Pa1 Pa 0.2500 0.2500 0.2733
Rh1 Rh 0.0000 0.2343 0.5321
Rh2 Rh 0.1960 0.0000 0.7136

Record 4
# GGA-PBE DyPaZnRh, optimized geometry
# Energy of formation, kJ/mol of formula units: -128
data_DyPaZnRh
_space_group_name_H-M_alt 'F -4 3 m'
_space_group_IT_number 216
_space_group_name_Hall 'F -4 2 3'
_cell_length_a 6.9884
_cell_length_b 6.9884
_cell_length_c 6.9884
_cell_angle_alpha 90.00
_cell_angle_beta 90.00
_cell_angle_gamma 90.00
loop_
_atom_site_label
_atom_site_type_symbol
_atom_site_fract_x
_atom_site_fract_y
_atom_site_fract_z
Dy1 Dy 0.0000 0.0000 0.0000
Pa1 Pa 0.0000 0.0000 0.5000
Zn1 Zn 0.2500 0.2500 0.7500
Rh1 Rh 0.2500 0.2500 0.2500

Record 5
# GGA-PBE Dy2Pa2Ru3, optimized geometry
# E above lowest polymorph, meV per atom: 0
# Energy of formation, kJ/mol of formula units: -305
data_Dy2Pa2Ru3
_space_group_name_H-M_alt 'P 1 21/c 1'
_space_group_IT_number 14
_cell_length_a 5.9094
_cell_length_b 10.1515
_cell_length_c 5.2592
_cell_angle_alpha 90.00
_cell_angle_beta 93.43
_cell_angle_gamma 90.00
loop_
_space_group_symop_operation_xyz
'x,y,z'
'-x,-y,-z'
'-x,y+1/2,-z+1/2'
'x,-y+1/2,z+1/2'
loop_
_atom_site_label
_atom_site_type_symbol
_atom_site_fract_x
_atom_site_fract_y
_atom_site_fract_z
Dy1 Dy 0.1332 0.1442 0.0514
Pa1 Pa 0.3655 0.6327 0.8762
Ru1 Ru 0.0000 0.0000 0.5000
Ru2 Ru 0.3592 0.6014 0.3729

Record 6
# GGA-PBE DyPaRu2, optimized geometry
# Energy of formation, kJ/mol of formula units: -188
data_DyPaRu2
_space_group_name_H-M_alt 'P 4/m m m'
_space_group_IT_number 123
_space_group_name_Hall '-P 4 2'
_cell_length_a 3.4518
_cell_length_b 3.4518
_cell_length_c 6.8187
_cell_angle_alpha 90.00
_cell_angle_beta 90.00
_cell_angle_gamma 90.00
loop_
_atom_site_label
_atom_site_type_symbol
_atom_site_fract_x
_atom_site_fract_y
_atom_site_fract_z
Dy1 Dy 0.0000 0.0000 0.0000
Pa1 Pa 0.0000 0.0000 0.5000
Ru1 Ru 0.5000 0.5000 0.2795

Record 7
# GGA-PBE DyPa2Ru2, optimized geometry
# Energy of formation, kJ/mol of formula units: -155
data_DyPa2Ru2
_space_group_name_H-M_alt 'P -1'
_space_group_IT_number 2
_cell_length_a 3.6866
_cell_length_b 7.8545
_cell_length_c 8.2917
_cell_angle_alpha 91.28
_cell_angle_beta 102.77
_cell_angle_gamma 103.52
loop_
_space_group_symop_operation_xyz
'x,y,z'
'-x,-y,-z'
loop_
_atom_site_label
_atom_site_type_symbol
_atom_site_fract_x
_atom_site_fract_y
_atom_site_fract_z
Dy1 Dy 0.1401 0.4553 0.3258
Pa1 Pa 0.1663 0.1511 0.6803
Pa2 Pa 0.3699 0.1396 0.1012
Ru1 Ru 0.1344 0.7022 0.0671
Ru2 Ru 0.4577 0.8360 0.5789

Record 8
# GGA-PBE Dy2PaRu2, optimized geometry
# E above lowest polymorph, meV per atom: 46
# Energy of formation, kJ/mol of formula units: -214
data_Dy2PaRu2
_space_group_name_H-M_alt 'P 1 21/c 1'
_space_group_IT_number 14
_cell_length_a 10.2004
_cell_length_b 6.6452
_cell_length_c 7.0542
_cell_angle_alpha 90.00
_cell_angle_beta 98.33
_cell_angle_gamma 90.00
loop_
_space_group_symop_operation_xyz
'x,y,z'
'-x,-y,-z'
'-x,y+1/2,-z+1/2'
'x,-y+1/2,z+1/2'
loop_
_atom_site_label
_atom_site_type_symbol
_atom_site_fract_x
_atom_site_fract_y
_atom_site_fract_z
Dy1 Dy 0.0198 0.2432 0.4334
Dy2 Dy 0.2813 0.6546 0.8798
Pa1 Pa 0.3637 0.1700 0.0003
Ru1 Ru 0.1972 0.0442 0.7248
Ru2 Ru 0.4874 0.5645 0.2197

Record 9
# GGA-PBE Dy5PaRu6, optimized geometry
# Energy of formation, kJ/mol of formula units: -525
data_Dy5PaRu6
_space_group_name_H-M_alt 'C m m m'
_space_group_IT_number 65
_space_group_name_Hall '-C 2 2'
_cell_length_a 4.8585
_cell_length_b 14.3053
_cell_length_c 6.8291
_cell_angle_alpha 90.00
_cell_angle_beta 90.00
_cell_angle_gamma 90.00
loop_
_atom_site_label
_atom_site_type_symbol
_atom_site_fract_x
_atom_site_fract_y
_atom_site_fract_z
Dy1 Dy 0.0000 0.0000 0.0000
Dy2 Dy 0.0000 0.3296 0.5000
Dy3 Dy 0.0000 0.3327 0.0000
Pa1 Pa 0.0000 0.0000 0.5000
Ru1 Ru 0.0000 0.1571 0.2623
Ru2 Ru 0.0000 0.5000 0.2640

Record 10
# GGA-PBE DyPaRu4, optimized geometry
# E above lowest polymorph, meV per atom: 0
# Energy of formation, kJ/mol of formula units: -170
data_DyPaRu4
_space_group_name_H-M_alt 'F -4 3 m'
_space_group_IT_number 216
_space_group_name_Hall 'F -4 2 3'
_cell_length_a 7.5405
_cell_length_b 7.5405
_cell_length_c 7.5405
_cell_angle_alpha 90.00
_cell_angle_beta 90.00
_cell_angle_gamma 90.00
loop_
_atom_site_label
_atom_site_type_symbol
_atom_site_fract_x
_atom_site_fract_y
_atom_site_fract_z
Dy1 Dy 0.0000 0.0000 0.0000
Pa1 Pa 0.2500 0.2500 0.7500
Ru1 Ru 0.1252 0.1252 0.3748

Record 11
# GGA-PBE Dy2PaRu4, optimized geometry
# Energy of formation, kJ/mol of formula units: -70
data_Dy2PaRu4
_space_group_name_H-M_alt 'I 4/m m m'
_space_group_IT_number 139
_space_group_name_Hall '-I 4 2'
_cell_length_a 4.5708
_cell_length_b 4.5708
_cell_length_c 13.3929
_cell_angle_alpha 90.00
_cell_angle_beta 90.00
_cell_angle_gamma 90.00
loop_
_atom_site_label
_atom_site_type_symbol
_atom_site_fract_x
_atom_site_fract_y
_atom_site_fract_z
Dy1 Dy 0.0000 0.0000 0.2362
Pa1 Pa 0.0000 0.0000 0.5000
Ru1 Ru 0.0000 0.5000 0.1080

Record 12
# GGA-PBE DyPaRu2, optimized geometry
# Energy of formation, kJ/mol of formula units: -156
data_DyPaRu2
_space_group_name_H-M_alt 'F m -3 m'
_space_group_IT_number 225
_space_group_name_Hall '-F 4 2 3'
_cell_length_a 6.8393
_cell_length_b 6.8393
_cell_length_c 6.8393
_cell_angle_alpha 90.00
_cell_angle_beta 90.00
_cell_angle_gamma 90.00
loop_
_atom_site_label
_atom_site_type_symbol
_atom_site_fract_x
_atom_site_fract_y
_atom_site_fract_z
Dy1 Dy 0.0000 0.0000 0.0000
Pa1 Pa 0.0000 0.0000 0.5000
Ru1 Ru 0.2500 0.2500 0.2500

Record 13
# GGA-PBE DyPa2Ru3, optimized geometry
# Energy of formation, kJ/mol of formula units: -287
data_DyPa2Ru3
_space_group_name_H-M_alt 'P -1'
_space_group_IT_number 2
_cell_length_a 5.4829
_cell_length_b 6.1250
_cell_length_c 8.2688
_cell_angle_alpha 98.63
_cell_angle_beta 106.11
_cell_angle_gamma 103.60
loop_
_space_group_symop_operation_xyz
'x,y,z'
'-x,-y,-z'
loop_
_atom_site_label
_atom_site_type_symbol
_atom_site_fract_x
_atom_site_fract_y
_atom_site_fract_z
Dy1 Dy 0.1056 0.1819 0.2096
Pa1 Pa 0.2635 0.7240 0.4713
Pa2 Pa 0.4776 0.7755 0.1190
Ru1 Ru 0.0012 0.3306 0.8575
Ru2 Ru 0.2442 0.2091 0.5840
Ru3 Ru 0.3586 0.6650 0.7740

Record 14
# GGA-PBE Dy5Pa2Ru5, optimized geometry
# Energy of formation, kJ/mol of formula units: -375
data_Dy5Pa2Ru5
_space_group_name_H-M_alt 'C 1 2/m 1'
_space_group_IT_number 12
_cell_length_a 8.6134
_cell_length_b 4.9721
_cell_length_c 12.6984
_cell_angle_alpha 90.00
_cell_angle_beta 102.97
_cell_angle_gamma 90.00
loop_
_space_group_symop_operation_xyz
'x,y,z'
'-x,-y,-z'
'-x,y,-z'
'x,-y,z'
'x+1/2,y+1/2,z'
'-x+1/2,-y+1/2,-z'
'-x+1/2,y+1/2,-z'
'x+1/2,-y+1/2,z'
loop_
_atom_site_label
_atom_site_type_symbol
_atom_site_fract_x
_atom_site_fract_y
_atom_site_fract_z
Dy1 Dy 0.0000 0.0000 0.0000
Dy2 Dy 0.1902 0.0000 0.5711
Dy3 Dy 0.2179 0.5000 0.1520
Pa1 Pa 0.0736 0.5000 0.7229
Ru1 Ru 0.0000 0.5000 0.5000
Ru2 Ru 0.1149 0.0000 0.3416
Ru3 Ru 0.1396 0.5000 0.9213

Record 15
# GGA-PBE DyPaRu4, optimized geometry
# E above lowest polymorph, meV per atom: 618
# Energy of formation, kJ/mol of formula units: 188
data_DyPaRu4
_space_group_name_H-M_alt 'P 4/m m m'
_space_group_IT_number 123
_space_group_name_Hall '-P 4 2'
_cell_length_a 4.2564
_cell_length_b 4.2564
_cell_length_c 6.8027
_cell_angle_alpha 90.00
_cell_angle_beta 90.00
_cell_angle_gamma 90.00
loop_
_atom_site_label
_atom_site_type_symbol
_atom_site_fract_x
_atom_site_fract_y
_atom_site_fract_z
Dy1 Dy 0.0000 0.0000 0.0000
Pa1 Pa 0.5000 0.5000 0.5000
Ru1 Ru 0.0000 0.5000 0.2861

Record 16
# GGA-PBE Dy2PaRu2, optimized geometry
# E above lowest polymorph, meV per atom: 0
# Energy of formation, kJ/mol of formula units: -236
data_Dy2PaRu2
_space_group_name_H-M_alt 'C 1 2/c 1'
_space_group_IT_number 15
_cell_length_a 10.1028
_cell_length_b 5.8954
_cell_length_c 7.8498
_cell_angle_alpha 90.00
_cell_angle_beta 101.14
_cell_angle_gamma 90.00
loop_
_space_group_symop_operation_xyz
'x,y,z'
'-x,-y,-z'
'-x,y,-z+1/2'
'x,-y,z+1/2'
'x+1/2,y+1/2,z'
'-x+1/2,-y+1/2,-z'
'-x+1/2,y+1/2,-z+1/2'
'x+1/2,-y+1/2,z+1/2'
loop_
_atom_site_label
_atom_site_type_symbol
_atom_site_fract_x
_atom_site_fract_y
_atom_site_fract_z
Dy1 Dy 0.1515 0.1276 0.1515
Pa1 Pa 0.0000 0.3637 0.7500
Ru1 Ru 0.1291 0.3684 0.5127

Record 17
# GGA-PBE Dy2Pa2Ru3, optimized geometry
# E above lowest polymorph, meV per atom: 66
# Energy of formation, kJ/mol of formula units: -261
data_Dy2Pa2Ru3
_space_group_name_H-M_alt 'P -1'
_space_group_IT_number 2
_cell_length_a 4.3547
_cell_length_b 5.3163
_cell_length_c 7.5130
_cell_angle_alpha 69.62
_cell_angle_beta 77.61
_cell_angle_gamma 89.93
loop_
_space_group_symop_operation_xyz
'x,y,z'
'-x,-y,-z'
loop_
_atom_site_label
_atom_site_type_symbol
_atom_site_fract_x
_atom_site_fract_y
_atom_site_fract_z
Dy1 Dy 0.1477 0.1189 0.2604
Pa1 Pa 0.3662 0.3739 0.7530
Ru1 Ru 0.0000 0.5000 0.5000
Ru2 Ru 0.2326 0.7299 0.0327

Record 18
# GGA-PBE Tb2DyPa2Ru5, optimized geometry
# Energy of formation, kJ/mol of formula units: -303
data_Tb2DyPa2Ru5
_space_group_name_H-M_alt 'P 4/m b m'
_space_group_IT_number 127
_space_group_name_Hall '-P 4 2ab'
_cell_length_a 10.6259
_cell_length_b 10.6259
_cell_length_c 3.6852
_cell_angle_alpha 90.00
_cell_angle_beta 90.00
_cell_angle_gamma 90.00
loop_
_atom_site_label
_atom_site_type_symbol
_atom_site_fract_x
_atom_site_fract_y
_atom_site_fract_z
Tb1 Tb 0.1728 0.3272 0.0000
Dy1 Dy 0.0000 0.0000 0.0000
Pa1 Pa 0.1344 0.6344 0.0000
Ru1 Ru 0.0000 0.5000 0.5000
Ru2 Ru 0.0545 0.7910 0.5000

Record 19
# GGA-PBE Tb2DyPaRu2, optimized geometry
# Energy of formation, kJ/mol of formula units: -170
data_Tb2DyPaRu2
_space_group_name_H-M_alt 'I b a m'
_space_group_IT_number 72
_space_group_name_Hall '-I 2 2c'
_cell_length_a 6.8463
_cell_length_b 13.6152
_cell_length_c 6.7260
_cell_angle_alpha 90.00
_cell_angle_beta 90.00
_cell_angle_gamma 90.00
loop_
_atom_site_label
_atom_site_type_symbol
_atom_site_fract_x
_atom_site_fract_y
_atom_site_fract_z
Tb1 Tb 0.2031 0.1950 0.0000
Dy1 Dy 0.0000 0.5000 0.2500
Pa1 Pa 0.0000 0.0000 0.2500
Ru1 Ru 0.2067 0.1025 0.5000

Record 20
# GGA-PBE TbDy2Pa2Ru5, optimized geometry
# Energy of formation, kJ/mol of formula units: -303
data_TbDy2Pa2Ru5
_space_group_name_H-M_alt 'P 4/m b m'
_space_group_IT_number 127
_space_group_name_Hall '-P 4 2ab'
_cell_length_a 10.6060
_cell_length_b 10.6060
_cell_length_c 3.6967
_cell_angle_alpha 90.00
_cell_angle_beta 90.00
_cell_angle_gamma 90.00
loop_
_atom_site_label
_atom_site_type_symbol
_atom_site_fract_x
_atom_site_fract_y
_atom_site_fract_z
Tb1 Tb 0.0000 0.0000 0.0000
Dy1 Dy 0.1728 0.3272 0.0000
Pa1 Pa 0.1339 0.6339 0.0000
Ru1 Ru 0.0000 0.5000 0.5000
Ru2 Ru 0.0553 0.7906 0.5000